(one)
# TbNd4Tm7

TbNd4Tm7 after structural relaxation (PBE, the Alexandria database).

a = 12.081 Å, b = 5.861 Å, c = 12.760 Å
α = 90.00°, β = 118.07°, γ = 90.00°
Space group C2/m (No. 12)
Symmetry-distinct sites (fractional):
Tb 0.000 0.000 0.000 x2
Nd 0.139 0.500 0.778 x4
Nd 0.220 0.000 0.664 x4
Tm 0.000 0.500 0.000 x2
Tm 0.070 0.000 0.310 x4
Tm 0.132 0.500 0.494 x4
Tm 0.212 0.000 0.924 x4

***

(two)
# TbNd4Tm7

TbNd4Tm7 after structural relaxation (PBE, the Alexandria database).

a = 7.090 Å, b = 7.910 Å, c = 7.962 Å
α = 72.89°, β = 77.48°, γ = 63.83°
Space group P-1 (No. 2)
Symmetry-distinct sites (fractional):
Tb 0.000 0.000 0.000 x1
Nd 0.165 0.335 0.668 x2
Nd 0.418 0.831 0.668 x2
Tm 0.084 0.165 0.332 x2
Tm 0.250 0.499 0.001 x2
Tm 0.333 0.669 0.331 x2
Tm 0.500 0.000 0.000 x1

***

It is (one) that is the least stable of them.

***

(one)
# Tb7NdTm3

Tb7NdTm3 after structural relaxation (PBE, the Alexandria database).

a = 6.950 Å, b = 5.544 Å, c = 9.852 Å
α = 90.00°, β = 109.67°, γ = 90.00°
Space group P2/m (No. 10)
Symmetry-distinct sites (fractional):
Tb 0.000 0.000 0.000 x1
Tb 0.146 0.500 0.290 x2
Tb 0.327 0.500 0.643 x2
Tb 0.424 0.000 0.832 x2
Nd 0.000 0.000 0.500 x1
Tm 0.277 0.500 0.997 x2
Tm 0.500 0.000 0.500 x1

***

(two)
# Tb7NdTm3

Tb7NdTm3 after structural relaxation (PBE, the Alexandria database).

a = 7.0633 Å, b = 7.0633 Å, c = 8.5682 Å
α = 90.00°, β = 90.00°, γ = 120.00°
Space group P3m1 (No. 156)
Symmetry-distinct sites (fractional):
Tb 0.0000 0.0000 0.0000 x1
Tb 0.0026 0.5013 0.0067 x3
Tb 0.3305 0.1653 0.6683 x3
Nd 0.3333 0.6667 0.6757 x1
Tm 0.1661 0.3322 0.3359 x3

***

It is (two) that is the least stable of them.

***

(one)
# Tb2Nd5Tm

Tb2Nd5Tm after structural relaxation (PBE, the Alexandria database).

a = 5.822 Å, b = 7.358 Å, c = 12.754 Å
α = 89.85°, β = 89.91°, γ = 89.94°
Space group P1 (No. 1)
Symmetry-distinct sites (fractional):
Tb 0.000 0.000 0.000 x1
Tb 0.000 0.499 0.498 x1
Tb 0.498 0.499 0.335 x1
Tb 0.499 0.498 0.833 x1
Nd 0.000 0.500 0.000 x1
Nd 0.499 0.998 0.833 x1
Nd 0.500 0.247 0.085 x1
Nd 0.500 0.749 0.580 x1
Nd 0.500 0.751 0.085 x1
Nd 0.501 0.248 0.581 x1
Nd 0.998 0.249 0.252 x1
Nd 0.998 0.249 0.748 x1
Nd 0.999 0.749 0.748 x1
Nd 0.999 0.750 0.252 x1
Tm 0.001 0.999 0.498 x1
Tm 0.499 0.999 0.335 x1

***

(two)
# Tb2Nd5Tm

Tb2Nd5Tm after structural relaxation (PBE, the Alexandria database).

a = 7.247 Å, b = 14.511 Å, c = 5.130 Å
α = 90.00°, β = 90.00°, γ = 90.00°
Space group Pbam (No. 55)
Symmetry-distinct sites (fractional):
Tb 0.250 0.124 0.000 x4
Nd 0.000 0.000 0.500 x2
Nd 0.001 0.748 0.500 x4
Nd 0.248 0.376 0.000 x4
Tm 0.000 0.500 0.500 x2

***

It is (one) that is the least stable of them.

***

(one)
# Tb4Nd7Tm

Tb4Nd7Tm after structural relaxation (PBE, the Alexandria database).

a = 6.332 Å, b = 7.302 Å, c = 9.021 Å
α = 89.97°, β = 76.49°, γ = 89.99°
Space group P-1 (No. 2)
Symmetry-distinct sites (fractional):
Tb 0.221 0.000 0.335 x2
Tb 0.277 0.249 0.669 x2
Nd 0.000 0.000 0.000 x1
Nd 0.221 0.500 0.334 x2
Nd 0.279 0.751 0.667 x2
Nd 0.499 0.249 0.999 x2
Tm 0.000 0.500 0.000 x1

***

(two)
# Tb4Nd7Tm

Tb4Nd7Tm after structural relaxation (PBE, the Alexandria database).

a = 16.253 Å, b = 6.013 Å, c = 9.409 Å
α = 90.00°, β = 115.93°, γ = 90.00°
Space group C2/m (No. 12)
Symmetry-distinct sites (fractional):
Tb 0.072 0.000 0.197 x4
Tb 0.173 0.000 0.890 x4
Nd 0.000 0.000 0.500 x2
Nd 0.083 0.500 0.941 x4
Nd 0.208 0.500 0.728 x4
Nd 0.209 0.500 0.379 x4
Tm 0.000 0.500 0.500 x2

***

It is (two) that is the least stable of them.

***

(one)
# Tb4NdTm5

Tb4NdTm5 after structural relaxation (PBE, the Alexandria database).

a = 10.187 Å, b = 10.187 Å, c = 6.236 Å
α = 90.00°, β = 90.00°, γ = 90.00°
Space group I4 (No. 79)
Symmetry-distinct sites (fractional):
Tb 0.051 0.650 0.000 x8
Nd 0.000 0.000 0.769 x2
Tm 0.000 0.000 0.229 x2
Tm 0.145 0.767 0.495 x8

***

(two)
# Tb4NdTm5

Tb4NdTm5 after structural relaxation (PBE, the Alexandria database).

a = 3.536 Å, b = 6.661 Å, c = 14.028 Å
α = 98.33°, β = 92.92°, γ = 104.13°
Space group P-1 (No. 2)
Symmetry-distinct sites (fractional):
Tb 0.120 0.310 0.219 x2
Tb 0.184 0.224 0.804 x2
Nd 0.000 0.500 0.000 x1
Tm 0.204 0.380 0.583 x2
Tm 0.488 0.926 0.612 x2
Tm 0.500 0.000 0.000 x1

***

It is (one) that is the least stable of them.